[1]
Material: CePaZn2
Method: DFT, PBE-GGA
State: relaxed

Properties
**DFT formation energy**: -0.101 eV per atom

CIF file:
```
data_CePaZn2
_chemical_formula_sum 'Ce1 Pa1 Zn2'
_cell_length_a 3.053
_cell_length_b 3.053
_cell_length_c 9.011
_cell_angle_alpha 90.00
_cell_angle_beta 90.00
_cell_angle_gamma 90.00
_space_group_name_H-M_alt 'P 4/m m m'
_space_group_IT_number 123
_space_group_name_Hall '-P 4 2'
loop_
_atom_site_label
_atom_site_type_symbol
_atom_site_fract_x
_atom_site_fract_y
_atom_site_fract_z
Ce1 Ce 0.000 0.000 0.000
Pa1 Pa 0.000 0.000 0.500
Zn1 Zn 0.500 0.500 0.253
```

---

[2]
Material: CeZrPa
Method: DFT, PBE-GGA
State: relaxed

Properties
**DFT formation energy**: 0.159 eV per atom

CIF file:
```
data_CeZrPa
_chemical_formula_sum 'Ce2 Zr2 Pa2'
_cell_length_a 3.844
_cell_length_b 3.844
_cell_length_c 10.050
_cell_angle_alpha 90.00
_cell_angle_beta 90.00
_cell_angle_gamma 90.00
_space_group_name_H-M_alt 'I 4 m m'
_space_group_IT_number 107
_space_group_name_Hall 'I 4 -2'
loop_
_atom_site_label
_atom_site_type_symbol
_atom_site_fract_x
_atom_site_fract_y
_atom_site_fract_z
Ce1 Ce 0.000 0.000 0.000
Zr1 Zr 0.000 0.000 0.324
Pa1 Pa 0.000 0.000 0.662
```

---

[3]
Material: CeZrPa
Method: DFT, PBE-GGA
State: relaxed

Properties
**DFT formation energy**: 0.265 eV per atom

CIF file:
```
data_CeZrPa
_chemical_formula_sum 'Ce18 Zr18 Pa18'
_cell_length_a 5.9764
_cell_length_b 5.9764
_cell_length_c 44.2444
_cell_angle_alpha 90.00
_cell_angle_beta 90.00
_cell_angle_gamma 120.00
_space_group_name_H-M_alt 'R -3 m'
_space_group_IT_number 166
_space_group_name_Hall '-R 3 2"'
loop_
_atom_site_label
_atom_site_type_symbol
_atom_site_fract_x
_atom_site_fract_y
_atom_site_fract_z
Ce1 Ce 0.0201 0.5101 0.2760
Zr1 Zr 0.0000 0.0000 0.2292
Zr2 Zr 0.0000 0.0000 0.3218
Zr3 Zr 0.0000 0.0000 0.4624
Pa1 Pa 0.0000 0.0000 0.0000
Pa2 Pa 0.0000 0.0000 0.1084
Pa3 Pa 0.0000 0.5000 0.5000
```

---

[4]
Material: CeZrPa
Method: DFT, PBE-GGA
State: relaxed

Properties
**DFT formation energy**: 0.033 eV per atom

CIF file:
```
data_CeZrPa
_chemical_formula_sum 'Ce4 Zr4 Pa4'
_cell_length_a 5.581
_cell_length_b 3.235
_cell_length_c 16.463
_cell_angle_alpha 90.00
_cell_angle_beta 96.42
_cell_angle_gamma 90.00
_space_group_name_H-M_alt 'C 1 2/m 1'
_space_group_IT_number 12
_space_group_name_Hall '-C 2y'
loop_
_atom_site_label
_atom_site_type_symbol
_atom_site_fract_x
_atom_site_fract_y
_atom_site_fract_z
Ce1 Ce 0.195 0.000 0.085
Zr1 Zr 0.197 0.500 0.581
Pa1 Pa 0.090 0.500 0.254
```

---

[5]
Material: CeZrPa
Method: DFT, PBE-GGA
State: relaxed

Properties
**DFT formation energy**: 0.072 eV per atom

CIF file:
```
data_CeZrPa
_chemical_formula_sum 'Ce1 Zr1 Pa1'
_cell_length_a 5.2106
_cell_length_b 5.2106
_cell_length_c 3.1325
_cell_angle_alpha 90.00
_cell_angle_beta 90.00
_cell_angle_gamma 120.00
_space_group_name_H-M_alt 'P -6 m 2'
_space_group_IT_number 187
_space_group_name_Hall 'P -6 2'
loop_
_atom_site_label
_atom_site_type_symbol
_atom_site_fract_x
_atom_site_fract_y
_atom_site_fract_z
Ce1 Ce 0.0000 0.0000 0.0000
Zr1 Zr 0.6667 0.3333 0.5000
Pa1 Pa 0.3333 0.6667 0.0000
```

---

[6]
Material: CeZrPa4
Method: DFT, PBE-GGA
State: relaxed

Properties
**DFT formation energy**: 0.230 eV per atom

CIF file:
```
data_CeZrPa4
_chemical_formula_sum 'Ce4 Zr4 Pa16'
_cell_length_a 8.502
_cell_length_b 8.502
_cell_length_c 8.502
_cell_angle_alpha 90.00
_cell_angle_beta 90.00
_cell_angle_gamma 90.00
_space_group_name_H-M_alt 'F -4 3 m'
_space_group_IT_number 216
_space_group_name_Hall 'F -4 2 3'
loop_
_atom_site_label
_atom_site_type_symbol
_atom_site_fract_x
_atom_site_fract_y
_atom_site_fract_z
Ce1 Ce 0.000 0.000 0.000
Zr1 Zr 0.250 0.250 0.750
Pa1 Pa 0.124 0.124 0.376
```

---

[7]
Material: CeZr8Pa2
Method: DFT, PBE-GGA
State: relaxed

Properties
**DFT formation energy**: 0.168 eV per atom

CIF file:
```
data_CeZr8Pa2
_chemical_formula_sum 'Ce2 Zr16 Pa4'
_cell_length_a 21.405
_cell_length_b 3.152
_cell_length_c 8.730
_cell_angle_alpha 90.00
_cell_angle_beta 111.58
_cell_angle_gamma 90.00
_space_group_name_H-M_alt 'C 1 2/m 1'
_space_group_IT_number 12
_space_group_name_Hall '-C 2y'
loop_
_atom_site_label
_atom_site_type_symbol
_atom_site_fract_x
_atom_site_fract_y
_atom_site_fract_z
Ce1 Ce 0.000 0.000 0.000
Zr1 Zr 0.062 0.500 0.753
Zr2 Zr 0.067 0.000 0.428
Zr3 Zr 0.183 0.000 0.024
Zr4 Zr 0.186 0.500 0.354
Pa1 Pa 0.192 0.500 0.702
```

---

[8]
Material: Ce5Pb4
Method: DFT, PBE-GGA
State: relaxed

Properties
**DFT formation energy**: -0.421 eV per atom

CIF file:
```
data_Ce5Pb4
_chemical_formula_sum 'Ce10 Pb8'
_cell_length_a 9.7299
_cell_length_b 9.7299
_cell_length_c 6.6225
_cell_angle_alpha 90.00
_cell_angle_beta 90.00
_cell_angle_gamma 120.00
_space_group_name_H-M_alt 'P 63/m c m'
_space_group_IT_number 193
_space_group_name_Hall '-P 6c 2'
loop_
_atom_site_label
_atom_site_type_symbol
_atom_site_fract_x
_atom_site_fract_y
_atom_site_fract_z
Ce1 Ce 0.0000 0.2819 0.2500
Ce2 Ce 0.3333 0.6667 0.0000
Pb1 Pb 0.0000 0.0000 0.0000
Pb2 Pb 0.0000 0.3761 0.7500
```

---

[9]
Material: Ce7Pb
Method: DFT, PBE-GGA
State: relaxed

Properties
**DFT formation energy**: -0.112 eV per atom

CIF file:
```
data_Ce7Pb
_chemical_formula_sum 'Ce28 Pb4'
_cell_length_a 9.492
_cell_length_b 9.492
_cell_length_c 9.492
_cell_angle_alpha 90.00
_cell_angle_beta 90.00
_cell_angle_gamma 90.00
_space_group_name_H-M_alt 'F m -3 m'
_space_group_IT_number 225
_space_group_name_Hall '-F 4 2 3'
loop_
_atom_site_label
_atom_site_type_symbol
_atom_site_fract_x
_atom_site_fract_y
_atom_site_fract_z
Ce1 Ce 0.000 0.000 0.000
Ce2 Ce 0.000 0.250 0.250
Pb1 Pb 0.000 0.000 0.500
```

---

[10]
Material: Ce4Pb
Method: DFT, PBE-GGA
State: relaxed

Properties
**DFT formation energy**: -0.157 eV per atom

CIF file:
```
data_Ce4Pb
_chemical_formula_sum 'Ce8 Pb2'
_cell_length_a 7.722
_cell_length_b 7.722
_cell_length_c 4.570
_cell_angle_alpha 90.00
_cell_angle_beta 90.00
_cell_angle_gamma 90.00
_space_group_name_H-M_alt 'I 4/m'
_space_group_IT_number 87
_space_group_name_Hall '-I 4'
loop_
_atom_site_label
_atom_site_type_symbol
_atom_site_fract_x
_atom_site_fract_y
_atom_site_fract_z
Ce1 Ce 0.106 0.691 0.000
Pb1 Pb 0.000 0.000 0.500
```

---

[11]
Material: Ce7Pb2
Method: DFT, PBE-GGA
State: relaxed

Properties
**DFT formation energy**: -0.177 eV per atom

CIF file:
```
data_Ce7Pb2
_chemical_formula_sum 'Ce7 Pb2'
_cell_length_a 5.4824
_cell_length_b 5.4824
_cell_length_c 9.4417
_cell_angle_alpha 90.00
_cell_angle_beta 90.00
_cell_angle_gamma 120.00
_space_group_name_H-M_alt 'P -3 m 1'
_space_group_IT_number 164
_space_group_name_Hall '-P 3 2"'
loop_
_atom_site_label
_atom_site_type_symbol
_atom_site_fract_x
_atom_site_fract_y
_atom_site_fract_z
Ce1 Ce 0.0000 0.0000 0.0000
Ce2 Ce 0.0000 0.0000 0.3177
Ce3 Ce 0.3333 0.6667 0.2217
Ce4 Ce 0.3333 0.6667 0.5069
Pb1 Pb 0.3333 0.6667 0.8586
```

---

[12]
Material: Ce5Pb
Method: DFT, PBE-GGA
State: relaxed

Properties
**DFT formation energy**: -0.071 eV per atom

CIF file:
```
data_Ce5Pb
_chemical_formula_sum 'Ce10 Pb2'
_cell_length_a 9.303
_cell_length_b 5.329
_cell_length_c 6.607
_cell_angle_alpha 90.00
_cell_angle_beta 95.84
_cell_angle_gamma 90.00
_space_group_name_H-M_alt 'C 1 2/m 1'
_space_group_IT_number 12
_space_group_name_Hall '-C 2y'
loop_
_atom_site_label
_atom_site_type_symbol
_atom_site_fract_x
_atom_site_fract_y
_atom_site_fract_z
Ce1 Ce 0.000 0.000 0.000
Ce2 Ce 0.113 0.500 0.222
Ce3 Ce 0.176 0.500 0.722
Pb1 Pb 0.000 0.000 0.500
```